Ca3Ni2Ge4 | PBE | relaxed

## Properties
The energy of formation from the pure elements is -0.573 eV per atom. Its excess energy over the best structure of this formula in the dataset is 0 meV/atom. The total energy comes out at -4.577 eV per atom. For the total magnetization, the calculation gives 0.00 μB per cell.

Cell lengths 10.7169, 4.2687, 8.2016 Å; angles 90.00, 105.86, 90.00 degrees
Closest atoms and distances in Å follow each position.
Space group C2/m (No. 12)
Asymmetric unit:
Ca: 0.0000 0.0000 0.0000 [2 per cell]  8 Ge 3.11-3.26
Ca: 0.1148 0.5000 0.6915 [4 per cell]  4 Ni 3.06-3.14, 8 Ge 3.07-3.27, 1 Ca 3.42
Ni: 0.1855 0.5000 0.3542 [4 per cell]  4 Ge 2.37-2.48
Ge: 0.1109 0.0000 0.4120 [4 per cell]  3 Ni 2.37-2.48
Ge: 0.2189 0.5000 0.0792 [4 per cell]  1 Ni 2.38